# 1
# SCAN Ba2CCl, single point on PBEsol structure
data_Ba2CCl
_chemical_formula_sum 'Ba8 C4 Cl4'
_cell_length_a 7.3442
_cell_length_b 7.3442
_cell_length_c 7.3442
_cell_angle_alpha 90.00
_cell_angle_beta 90.00
_cell_angle_gamma 90.00
_space_group_name_H-M_alt 'F m -3 m'
_space_group_IT_number 225
_space_group_name_Hall '-F 4 2 3'
loop_
_atom_site_label
_atom_site_type_symbol
_atom_site_fract_x
_atom_site_fract_y
_atom_site_fract_z
Ba1 Ba 0.2500 0.2500 0.2500
C1 C 0.0000 0.0000 0.0000
Cl1 Cl 0.0000 0.0000 0.5000
# Energy relative to the elements, uncorrected = -0.35 eV/atom

# 2
# SCAN BaC3Cl, single point on PBEsol structure
data_BaC3Cl
_chemical_formula_sum 'Ba1 C3 Cl1'
_cell_length_a 4.2075
_cell_length_b 4.2075
_cell_length_c 4.2075
_cell_angle_alpha 90.00
_cell_angle_beta 90.00
_cell_angle_gamma 90.00
_space_group_name_H-M_alt 'P m -3 m'
_space_group_IT_number 221
_space_group_name_Hall '-P 4 2 3'
loop_
_atom_site_label
_atom_site_type_symbol
_atom_site_fract_x
_atom_site_fract_y
_atom_site_fract_z
Ba1 Ba 0.0000 0.0000 0.0000
C1 C 0.0000 0.5000 0.5000
Cl1 Cl 0.5000 0.5000 0.5000
# Energy relative to the elements, uncorrected = 2.77 eV/atom
# Distance to the lowest polymorph of the same formula = 0 meV per atom

Q: Which of these has the lowest energy relative to the elements, uncorrected?
A: Ba2CCl

Q: Look up the energy relative to the elements, uncorrected of the first one.
A: -0.35 eV/atom

Q: Among the records above, which one has the lowest energy relative to the elements, uncorrected?
A: Ba2CCl

What did the first record say?
# SCAN Ba2CCl, single point on PBEsol structure
data_Ba2CCl
_chemical_formula_sum 'Ba8 C4 Cl4'
_cell_length_a 7.3442
_cell_length_b 7.3442
_cell_length_c 7.3442
_cell_angle_alpha 90.00
_cell_angle_beta 90.00
_cell_angle_gamma 90.00
_space_group_name_H-M_alt 'F m -3 m'
_space_group_IT_number 225
_space_group_name_Hall '-F 4 2 3'
loop_
_atom_site_label
_atom_site_type_symbol
_atom_site_fract_x
_atom_site_fract_y
_atom_site_fract_z
Ba1 Ba 0.2500 0.2500 0.2500
C1 C 0.0000 0.0000 0.0000
Cl1 Cl 0.0000 0.0000 0.5000
# Energy relative to the elements, uncorrected = -0.35 eV/atom